<A>
{"formula": "La6DyY2", "functional": "PBE", "state": "optimized geometry", "sg": "P-31m (162)", "lattice_angstrom": [[6.5424, 0.0000, 0.0000], [-3.2712, 5.6659, 0.0000], [0.0000, 0.0000, 9.5445]], "species": ["La", "La", "La", "La", "La", "La", "Dy", "Y", "Y"], "fractional_positions": [[0.0000, 0.3654, 0.2025], [0.0000, 0.6346, 0.7975], [0.3654, 0.0000, 0.2025], [0.3654, 0.3654, 0.7975], [0.6346, 0.0000, 0.7975], [0.6346, 0.6346, 0.2025], [0.0000, 0.0000, 0.0000], [0.3333, 0.6667, 0.5000], [0.6667, 0.3333, 0.5000]]}


<B>
{"formula": "La6DyY2", "functional": "PBE", "state": "optimized geometry", "sg": "Cmmm (65)", "lattice_angstrom": [[4.7573, -8.9631, 0.0000], [4.7573, 8.9631, 0.0000], [0.0000, 0.0000, 3.7138]], "species": ["La", "La", "La", "La", "La", "La", "Dy", "Y", "Y"], "fractional_positions": [[0.0048, 0.3363, 0.0000], [0.1794, 0.1794, 0.5000], [0.3363, 0.0048, 0.0000], [0.6637, 0.9952, 0.0000], [0.8206, 0.8206, 0.5000], [0.9952, 0.6637, 0.0000], [0.5000, 0.5000, 0.0000], [0.3278, 0.6722, 0.5000], [0.6722, 0.3278, 0.5000]]}


Looking at the structures above, <B> is most stable, and the difference to the next one is 29.6 kJ/mol of atoms.